1.
! Ce12Ru3C5 PBE relaxed; values from VASP
&SYSTEM
  ibrav = 0, nat = 80, ntyp = 3
/
ATOMIC_SPECIES
Ce 140.12 Ce.upf
C 12.01 C.upf
Ru 101.07 Ru.upf
ATOMIC_POSITIONS angstrom
Ce 9.5417 6.3669 1.9412
Ce 2.8222 1.6494 3.5258
C 3.3478 9.4689 2.7334
Ce -0.5903 0.9276 2.2756
Ce -4.3304 4.9446 10.5993
C 2.2319 3.1563 5.4669
Ce 5.5350 -1.0619 6.3905
C 3.3478 2.3672 1.3667
C 5.5796 3.1563 8.2003
Ce -0.6143 4.6587 1.0176
Ce 6.8289 3.5507 4.1149
Ce -3.8734 5.5908 5.8013
C 5.5796 5.5235 4.1002
Ce 1.6415 4.6632 7.4080
Ce 5.0781 -1.7082 10.0102
Ce 2.0985 8.4953 4.4493
C -1.1159 0.7891 6.8336
C -1.1159 10.2580 1.3667
C -4.4637 3.1563 5.4669
Ce 6.8289 11.2572 0.3345
C 0.0000 0.0000 0.0000
Ce -1.1605 4.4656 9.5818
Ce -5.0780 -0.0543 8.9926
Ce -3.3924 10.7782 1.3520
Ce 9.0607 -2.7619 6.8189
C 4.4637 6.3126 0.0000
Ru 1.1159 6.3126 2.7334
Ru -3.3478 2.3672 9.5671
Ru 3.3478 0.0000 8.2003
Ru -5.5796 6.3126 8.2003
C 6.6956 0.0000 0.0000
Ce 3.8734 -1.6494 3.5258
Ce -0.6144 8.0208 0.9236
Ru 1.1159 -0.7891 4.1002
Ce 1.1605 1.0619 6.3905
Ce 9.9987 2.9090 3.1913
Ce 6.0812 6.2584 1.9412
Ce 8.3371 0.7218 5.1324
Ce 5.6242 9.7163 3.1913
C 7.8115 -0.7891 6.8336
Ce -1.0713 7.3745 4.5433
Ce 7.8561 -4.4656 9.5818
C 5.5796 -3.9454 9.5671
Ce 5.0540 5.3850 8.6582
Ce -5.5350 3.4037 7.7425
C -2.2319 6.3126 0.0000
Ce 6.1052 7.0344 5.8013
Ce -2.3652 -4.9446 10.5993
Ru 3.3478 7.1017 6.8336
Ce 1.6175 1.7082 10.0102
Ru 7.8115 3.9454 1.3667
Ce -1.6175 0.0542 8.9926
Ce 8.7941 1.3681 0.3345
Ce 5.0780 1.6540 9.9162
C -3.3478 7.1017 4.1002
Ce 2.3652 -2.1826 6.4844
Ce 5.6242 1.8470 1.3520
Ce 2.8462 7.9666 1.0176
Ru 5.5796 0.7891 4.1002
C -2.2319 -3.1563 5.4669
C 1.1159 -3.1563 8.2003
Ru 10.0433 0.0000 2.7334
Ce 3.3032 5.2507 4.5433
Ru 7.8115 8.6799 1.3667
Ce -2.3652 2.7619 6.8189
Ru -1.1159 5.5235 6.8336
Ce 2.8462 4.6044 0.9236
Ce 0.1333 4.1300 4.4493
C 4.4637 -3.1563 5.4669
Ce 7.2859 -0.9276 2.2756
Ce -4.5970 9.0746 4.1149
Ce -2.8222 7.2402 8.6582
Ce -1.1605 -3.4036 7.7425
Ru -3.3478 -2.3672 9.5671
C -1.1159 3.1563 2.7334
Ce 1.6175 -1.6540 9.9162
Ce 0.5903 7.9620 7.4080
Ce 4.3304 2.1826 6.4844
C 1.1159 3.9454 9.5671
Ce -1.6415 -0.7218 5.1324
CELL_PARAMETERS angstrom
13.3911 0.0000 0.0000
-4.4637 12.6253 0.0000
-4.4637 -6.3126 10.9338
! formation energy from the elements	-43.7	meV/atom
! D(E_F)	190.3	states/eV per cell

=====

2.
! CaHoNi2 PBE relaxed; values from VASP
&SYSTEM
  ibrav = 0, nat = 4, ntyp = 3
/
ATOMIC_SPECIES
Ni 58.69 Ni.upf
Ho 164.93 Ho.upf
Ca 40.08 Ca.upf
ATOMIC_POSITIONS angstrom
Ni 2.3846 1.3767 0.9735
Ho 4.7691 2.7534 1.9470
Ni 7.1537 4.1302 2.9205
Ca 0.0000 0.0000 0.0000
CELL_PARAMETERS angstrom
4.7691 0.0000 0.0000
2.3846 4.1302 0.0000
2.3846 1.3767 3.8940
! formation energy from the elements	-188.0	meV/atom
! E above lowest polymorph	0.0611	eV per atom
! D(E_F)	2.5	states/eV per cell

=====

Number 1: total magnetic moment 7.8 μB/f.u.. Number 2: total magnetic moment 0.0 μB/f.u..